First-principles (PBE with a Hubbard U) data for a geometry-optimized Na4WO2 structure, as listed in the Alexandria database.

Output
Raw total energy in eV per cell: -40.656
Volume in Å³/atom: 28.4

```
data_Na4WO2
_chemical_formula_sum 'Na8 W2 O4'
_cell_length_a 5.718
_cell_length_b 5.718
_cell_length_c 12.165
_cell_angle_alpha 90.00
_cell_angle_beta 90.00
_cell_angle_gamma 90.00
_symmetry_space_group_name_H-M 'I 4/m m m'
_symmetry_Int_Tables_number 139
_symmetry_space_group_name_Hall '-I 4 2'
loop_
_atom_site_label
_atom_site_type_symbol
_atom_site_fract_x
_atom_site_fract_y
_atom_site_fract_z
_atom_site_occupancy
Na1 Na 0.000 0.000 0.232 1
Na2 Na 0.000 0.500 0.000 1
W1 W 0.000 0.000 0.500 1
O1 O 0.000 0.000 0.060 1
```